# Pm2Ge4Pt3Rh

A relaxed structure of Pm2Ge4Pt3Rh (PBE-GGA, Alexandria via LeMat-Bulk).

Calculated values
Its space group is P-4m2 (115). The calculated total energy comes out at -6.27 eV per atom.

a b c (Å): 4.289 4.289 10.321
angles (deg): 90.00 90.00 90.00
Sites, in units of the cell vectors:
Pm (0.000, 0.500, 0.249)
Pm (0.500, 0.000, 0.751)
Ge (0.000, 0.000, 0.000)
Ge (0.000, 0.500, 0.631)
Ge (0.500, 0.000, 0.369)
Ge (0.500, 0.500, 0.000)
Pt (0.000, 0.500, 0.869)
Pt (0.500, 0.000, 0.131)
Pt (0.500, 0.500, 0.500)
Rh (0.000, 0.000, 0.500)